Record 1
Mg6TlHg3 | PBE | relaxed

Calculated formation energy = -0.156 eV per atom
Total moment = 0.000 μB/f.u.

abc: 8.7383 4.9596 10.7109
angles: 90.00 106.74 90.00
Closest atoms and distances in Å follow each position.
Space group P2_1/m (No. 11)
One atom of each set of equivalent atoms:
Mg  0.0501  0.2500  0.4150  6 Hg 2.91-3.17, 2 Mg 3.20-3.23
Mg  0.1408  0.7500  0.1800  5 Hg 2.88-3.09, 1 Tl 3.03, 2 Mg 3.16
Mg  0.2322  0.2500  0.9895  4 Hg 2.99-3.07, 3 Tl 3.15-3.22, 2 Mg 3.21-3.24
Mg  0.3228  0.7500  0.7792  4 Hg 3.00-3.27, 4 Mg 3.18-3.35, 3 Tl 3.20-3.34
Mg  0.3552  0.2500  0.3022  8 Mg 3.10-3.23, 4 Hg 3.20-3.39
Mg  0.4099  0.2500  0.6010  4 Hg 2.92-2.95, 1 Tl 3.03, 4 Mg 3.10-3.20
Tl  0.4500  0.7500  0.1051  8 Mg 3.03-3.34
Hg  0.0332  0.7500  0.8785  8 Mg 2.88-3.09
Hg  0.1270  0.2500  0.6980  8 Mg 2.91-3.00
Hg  0.2855  0.7500  0.4665  8 Mg 2.92-3.20


Record 2
Ce3GeRh3 | PBE | relaxed

Calculated formation energy = -0.566 eV per atom
Total moment = 0.695 μB/f.u.

abc: 8.4392 8.4392 5.4176
angles: 90.00 90.00 120.00
Closest atoms and distances in Å follow each position.
Space group P6_3/m (No. 176)
One atom of each set of equivalent atoms:
Ce  0.0683  0.6781  0.2500  5 Rh 2.73-2.92
Ge  0.3333  0.6667  0.7500  3 Rh 2.52
Rh  0.0585  0.7087  0.7500  1 Ge 2.52, 2 Ce 2.73


Record 3
TlOs2Br | PBE | relaxed

Raw formation energy = 1415 meV/atom
E above lowest polymorph = 873.6 meV/atom
Total moment = 0.000 μB/f.u.

abc: 3.0674 4.9343 5.6495
angles: 115.75 105.56 90.18
Closest atoms and distances in Å follow each position.
Space group P-1 (No. 2)
One atom of each set of equivalent atoms:
Tl  0.0000  0.0000  0.0000  4 Os 2.82-2.83, 4 Br 2.90-2.91, 2 Tl 3.07
Os  0.0000  0.0000  0.5000  2 Tl 2.82, 2 Br 2.83, 6 Os 2.90-3.07
Os  0.5000  0.5000  0.5000  2 Br 2.82, 2 Tl 2.83, 6 Os 2.90-3.07
Br  0.5000  0.5000  0.0000  4 Os 2.82-2.83, 4 Tl 2.90-2.91, 2 Br 3.07


Record 4
MgBeInCu2 | PBE | relaxed

Calculated formation energy = 1.216 eV per atom
Total moment = 0.000 μB/f.u.

abc: 4.6365 4.6365 5.2458
angles: 90.00 90.00 90.00
Closest atoms and distances in Å follow each position.
Space group P4/mmm (No. 123)
One atom of each set of equivalent atoms:
Mg  0.0000  0.0000  0.0000  4 Cu 2.32
Be  0.5000  0.5000  0.5000  4 In 3.28, 8 Cu 3.50
In  0.0000  0.0000  0.5000  2 Mg 2.62
Cu  0.0000  0.5000  0.0000  2 Mg 2.32


Record 5
MgReOs2 | PBE | relaxed

Calculated formation energy = 0.792 eV per atom
Total moment = 0.000 μB/f.u.

abc: 7.3519 7.3519 5.2546
angles: 90.00 90.00 90.00
Closest atoms and distances in Å follow each position.
Space group I-42d (No. 122)
One atom of each set of equivalent atoms:
Mg  0.0000  0.0000  0.0000  2 Re 2.63
Re  0.0000  0.0000  0.5000  4 Os 2.44, 2 Mg 2.63
Os  0.1989  0.2500  0.6250  2 Re 2.44


Record 6
TaAlV2In | PBE | relaxed

Calculated formation energy = 1.240 eV per atom
Total moment = 3.109 μB/f.u.

abc: 4.9331 4.9331 5.1506
angles: 90.00 90.00 90.00
Closest atoms and distances in Å follow each position.
Space group P4/mmm (No. 123)
One atom of each set of equivalent atoms:
Ta  0.0000  0.0000  0.0000  4 V 2.47, 2 Al 2.58
Al  0.0000  0.0000  0.5000  2 Ta 2.58
V  0.0000  0.5000  0.0000  2 Ta 2.47
In  0.5000  0.5000  0.5000  4 Al 3.49, 8 V 3.57


Record 7
RbNi2PS | PBE | relaxed

Raw formation energy = -496 meV/atom
Total moment = 0.000 μB/f.u.

abc: 7.2373 3.8918 7.8212
angles: 90.00 105.73 90.00
Closest atoms and distances in Å follow each position.
Space group P2_1/m (No. 11)
One atom of each set of equivalent atoms:
Rb  0.0541  0.2500  0.2639  3 S 3.32-3.34, 3 P 3.44-3.46, 3 Ni 3.66-3.69
Ni  0.4879  0.7500  0.8682  3 P 2.20-2.24, 1 S 2.24
Ni  0.4956  0.2500  0.6292  1 P 2.19, 3 S 2.27-2.32
P  0.3520  0.7500  0.0873  4 Ni 2.19-2.24
S  0.3289  0.7500  0.5787  4 Ni 2.24-2.32


no.,ρ (g cm⁻³),final energy (eV/atom)
1,7.1,-1.44
2,8.0,-6.92
3,15.0,-5.21
4,4.1,-2.03
5,13.8,-8.33
6,5.6,-6.07
7,4.2,-4.91